1.
Below is a relaxed structure of SrCd2Ga2, with properties calculated at the PBE-GGA level.

```
10
Lattice="8.430 0.000 0.000 0.000 8.430 0.000 0.000 0.000 3.468" Properties=species:S:1:pos:R:3 pbc="T T T"
Cd 1.041 3.174 0.000
Cd 5.255 1.041 0.000
Ga 6.959 2.744 1.734
Cd 3.174 7.389 0.000
Sr 0.000 0.000 0.000
Ga 2.744 1.471 1.734
Ga 1.471 5.685 1.734
Cd 7.389 5.255 0.000
Ga 5.685 6.959 1.734
Sr 4.215 4.215 0.000
```

Calculated values
The total energy is -20.13 eV/cell. The space-group type is No. 127. Its energy above the most stable polymorph in this dataset is 250 meV/atom.


2.
Below is a relaxed structure of CeBeSi2Tc2, with properties calculated at the PBE-GGA level.

```
6
Lattice="-3.521 -2.520 0.244 2.361 -3.118 1.873 -1.099 1.990 4.697" Properties=species:S:1:pos:R:3 pbc="T T T"
Tc -1.388 -1.355 4.513
Tc -0.871 -2.292 2.301
Ce -0.549 0.995 2.348
Si -1.761 -1.260 0.122
Si 1.180 -1.559 0.937
Be 0.000 0.000 0.000
```

Calculated values
The total energy is -40.68 eV/cell. The space-group type is No. 123. The uncorrected formation energy is 93 meV/atom.


3.
Below is a relaxed structure of Ac7Sn3N2, with properties calculated at the PBE-GGA level.

```
12
Lattice="-4.342 -2.204 -2.288 -0.338 -3.392 3.909 -5.740 9.675 7.899" Properties=species:S:1:pos:R:3 pbc="T T T"
Ac -8.721 4.117 6.260
Ac 0.000 0.000 0.000
Sn -2.340 -2.798 0.811
Ac -3.760 0.620 0.213
Ac -6.322 6.852 5.399
Ac -3.167 3.432 2.704
N -1.644 1.782 1.404
Ac -6.915 4.039 2.907
Sn -5.334 0.447 3.368
Ac -1.699 -0.038 3.261
Sn -5.086 3.632 6.153
N -8.438 5.689 4.207
```

Calculated values
The total energy is -66.36 eV/cell. The space-group type is No. 65. The uncorrected formation energy is -745 meV/atom. Its energy above the most stable polymorph in this dataset is 37 meV/atom.


4.
Below is a relaxed structure of UPaIr2, with properties calculated at the PBE-GGA level.

```
4
Lattice="4.580 0.000 0.000 2.290 3.966 0.000 2.290 1.322 4.648" Properties=species:S:1:pos:R:3 pbc="T T T"
Ir 6.870 3.966 3.176
Ir 2.290 1.322 1.472
U 4.580 2.644 2.324
Pa 0.000 0.000 0.000
```

Calculated values
The total energy is -40.54 eV/cell. The space-group type is No. 166. Its energy above the most stable polymorph in this dataset is 0 meV/atom.


5.
Below is a relaxed structure of Pr6Dy2ErTh, with properties calculated at the PBE-GGA level.

```
20
Lattice="9.295 -2.202 -2.285 0.863 8.664 -1.918 0.863 -2.238 8.587" Properties=species:S:1:pos:R:3 pbc="T T T"
Er 7.834 2.559 0.659
Pr 8.761 -0.319 5.853
Dy 0.893 1.943 1.040
Pr 5.926 5.102 -1.793
Pr 1.279 -0.880 6.174
Er 3.186 1.664 3.725
Pr 4.113 6.962 1.041
Th 7.834 -3.584 6.579
Pr 8.895 -0.491 1.801
Pr 6.906 -2.738 3.342
Dy 5.540 -0.134 0.837
Dy 5.480 4.357 3.546
Dy 10.127 2.281 3.343
Pr 5.093 -0.878 6.177
Pr 6.772 1.304 3.665
Th 3.186 7.808 -2.195
Pr 9.741 5.104 -1.791
Pr 4.248 2.919 0.719
Pr 2.259 4.543 -1.470
Pr 2.125 4.715 2.582
```

Calculated values
The total energy is -96.88 eV/cell. The space-group type is No. 15.


6.
Below is a relaxed structure of LiMg3Sn2, with properties calculated at the PBE-GGA level.

```
12
Lattice="5.546 0.000 -2.302 -0.980 5.520 -2.360 0.356 0.425 8.686" Properties=species:S:1:pos:R:3 pbc="T T T"
Mg 3.068 2.059 3.543
Li -0.735 4.140 -1.770
Mg 2.038 4.140 -2.921
Mg -0.146 4.819 3.494
Sn 0.515 2.351 5.285
Mg 2.528 1.380 -1.741
Mg 5.068 1.126 0.530
Sn 2.890 5.111 2.916
Sn 2.032 0.834 1.108
Li -0.245 1.380 -0.590
Mg 1.854 3.886 0.481
Sn 4.406 3.594 -1.261
```

Calculated values
The total energy is -31.88 eV/cell. The space-group type is No. 72. Its energy above the most stable polymorph in this dataset is 0 meV/atom.